(1)
Here is an optimized crystal structure of Ho2ScNb from Alexandria via LeMat-Bulk. Energies are from GGA-PBE.

## Properties
- energy of formation from the pure elements (eV/f.u.) = 1.93
- energy (eV per atom) = -5.906
- SG = R-3m, No. 166

Structure (CIF):
```
data_Ho2ScNb
_chemical_formula_sum 'Ho2 Sc1 Nb1'
_cell_length_a 3.219
_cell_length_b 3.219
_cell_length_c 11.406
_cell_angle_alpha 81.89
_cell_angle_beta 81.89
_cell_angle_gamma 60.00
_space_group_name_H-M_alt 'P 1'
_space_group_IT_number 1
loop_
_space_group_symop_operation_xyz
'x,y,z'
loop_
_atom_site_label
_atom_site_type_symbol
_atom_site_fract_x
_atom_site_fract_y
_atom_site_fract_z
_atom_site_occupancy
Nb1 Nb 0.000 0.000 0.000 1
Sc1 Sc 0.500 0.500 0.500 1
Ho1 Ho 0.086 0.086 0.742 1
Ho2 Ho 0.914 0.914 0.258 1
```

(2)
Here is an optimized crystal structure of HoNb4Se8 from Alexandria via LeMat-Bulk. Energies are from GGA-PBE.

## Properties
- energy (eV per atom) = -6.551
- SG = R-3m, No. 166

Structure (CIF):
```
data_HoNb4Se8
_chemical_formula_sum 'Ho1 Nb4 Se8'
_cell_length_a 7.104
_cell_length_b 7.104
_cell_length_c 8.038
_cell_angle_alpha 90.00
_cell_angle_beta 116.23
_cell_angle_gamma 120.00
_space_group_name_H-M_alt 'P 1'
_space_group_IT_number 1
loop_
_space_group_symop_operation_xyz
'x,y,z'
loop_
_atom_site_label
_atom_site_type_symbol
_atom_site_fract_x
_atom_site_fract_y
_atom_site_fract_z
_atom_site_occupancy
Ho1 Ho 0.000 0.500 0.500 1
Se1 Se 0.000 0.758 0.242 1
Se2 Se 0.508 0.254 0.762 1
Se3 Se 0.000 0.758 0.758 1
Se4 Se 0.000 0.242 0.242 1
Se5 Se 0.516 0.758 0.758 1
Se6 Se 0.484 0.242 0.242 1
Se7 Se 0.492 0.746 0.238 1
Se8 Se 0.000 0.242 0.758 1
Nb1 Nb 0.500 0.000 0.000 1
Nb2 Nb 0.000 0.500 0.000 1
Nb3 Nb 0.500 0.500 0.000 1
Nb4 Nb 0.000 0.000 0.000 1
```

(3)
Here is an optimized crystal structure of Ho2NbSe4 from Alexandria via LeMat-Bulk. Energies are from GGA-PBE.

## Properties
- energy (eV per atom) = -6.111
- SG = C2/m, No. 12

Structure (CIF):
```
data_Ho2NbSe4
_chemical_formula_sum 'Ho2 Nb1 Se4'
_cell_length_a 3.947
_cell_length_b 7.171
_cell_length_c 7.470
_cell_angle_alpha 119.10
_cell_angle_beta 105.32
_cell_angle_gamma 90.00
_space_group_name_H-M_alt 'P 1'
_space_group_IT_number 1
loop_
_space_group_symop_operation_xyz
'x,y,z'
loop_
_atom_site_label
_atom_site_type_symbol
_atom_site_fract_x
_atom_site_fract_y
_atom_site_fract_z
_atom_site_occupancy
Se1 Se 0.623 0.280 0.247 1
Se2 Se 0.888 0.203 0.775 1
Se3 Se 0.112 0.797 0.225 1
Se4 Se 0.377 0.720 0.753 1
Nb1 Nb 0.000 0.000 0.000 1
Ho1 Ho 0.738 0.753 0.476 1
Ho2 Ho 0.262 0.247 0.524 1
```

(4)
Here is an optimized crystal structure of HoNb2Se6 from Alexandria via LeMat-Bulk. Energies are from GGA-PBE.

## Properties
- energy (eV per atom) = -5.891
- SG = C2/m, No. 12

Structure (CIF):
```
data_HoNb2Se6
_chemical_formula_sum 'Ho1 Nb2 Se6'
_cell_length_a 4.835
_cell_length_b 6.880
_cell_length_c 8.708
_cell_angle_alpha 70.48
_cell_angle_beta 73.88
_cell_angle_gamma 69.43
_space_group_name_H-M_alt 'P 1'
_space_group_IT_number 1
loop_
_space_group_symop_operation_xyz
'x,y,z'
loop_
_atom_site_label
_atom_site_type_symbol
_atom_site_fract_x
_atom_site_fract_y
_atom_site_fract_z
_atom_site_occupancy
Se1 Se 0.300 0.345 0.054 1
Se2 Se 0.015 0.169 0.801 1
Se3 Se 0.700 0.655 0.946 1
Se4 Se 0.649 0.301 0.402 1
Se5 Se 0.351 0.699 0.598 1
Se6 Se 0.985 0.831 0.199 1
Ho1 Ho 0.000 0.500 0.500 1
Nb1 Nb 0.825 0.230 0.121 1
Nb2 Nb 0.175 0.770 0.879 1
```

(5)
Here is an optimized crystal structure of HoNb4Si4 from Alexandria via LeMat-Bulk. Energies are from GGA-PBE.

## Properties
- energy (eV per atom) = -7.768
- SG = P4_2/n, No. 86

Structure (CIF):
```
data_HoNb4Si4
_chemical_formula_sum 'Ho2 Nb8 Si8'
_cell_length_a 5.025
_cell_length_b 8.429
_cell_length_c 8.429
_cell_angle_alpha 90.00
_cell_angle_beta 90.00
_cell_angle_gamma 90.00
_space_group_name_H-M_alt 'P 1'
_space_group_IT_number 1
loop_
_space_group_symop_operation_xyz
'x,y,z'
loop_
_atom_site_label
_atom_site_type_symbol
_atom_site_fract_x
_atom_site_fract_y
_atom_site_fract_z
_atom_site_occupancy
Si1 Si 0.114 0.839 0.682 1
Si2 Si 0.114 0.161 0.318 1
Si3 Si 0.386 0.661 0.818 1
Si4 Si 0.886 0.318 0.839 1
Si5 Si 0.614 0.818 0.339 1
Si6 Si 0.886 0.682 0.161 1
Si7 Si 0.614 0.182 0.661 1
Si8 Si 0.386 0.339 0.182 1
Nb1 Nb 0.624 0.874 0.637 1
Nb2 Nb 0.376 0.363 0.874 1
Nb3 Nb 0.124 0.863 0.374 1
Nb4 Nb 0.376 0.637 0.126 1
Nb5 Nb 0.124 0.137 0.626 1
Nb6 Nb 0.624 0.126 0.363 1
Nb7 Nb 0.876 0.626 0.863 1
Nb8 Nb 0.876 0.374 0.137 1
Ho1 Ho 0.000 0.000 0.000 1
Ho2 Ho 0.500 0.500 0.500 1
```

(6)
Here is an optimized crystal structure of SmHoNb from Alexandria via LeMat-Bulk. Energies are from GGA-PBE.

## Properties
- energy of formation from the pure elements (eV/f.u.) = 0.75
- energy (eV per atom) = -6.207
- SG = C2/m, No. 12

Structure (CIF):
```
data_SmHoNb
_chemical_formula_sum 'Sm2 Ho2 Nb2'
_cell_length_a 4.972
_cell_length_b 5.232
_cell_length_c 6.829
_cell_angle_alpha 90.68
_cell_angle_beta 111.35
_cell_angle_gamma 90.00
_space_group_name_H-M_alt 'P 1'
_space_group_IT_number 1
loop_
_space_group_symop_operation_xyz
'x,y,z'
loop_
_atom_site_label
_atom_site_type_symbol
_atom_site_fract_x
_atom_site_fract_y
_atom_site_fract_z
_atom_site_occupancy
Ho1 Ho 0.107 0.274 0.214 1
Ho2 Ho 0.893 0.726 0.786 1
Nb1 Nb 0.750 0.167 0.500 1
Nb2 Nb 0.250 0.833 0.500 1
Sm1 Sm 0.605 0.723 0.210 1
Sm2 Sm 0.395 0.277 0.790 1
```

(7)
Here is an optimized crystal structure of HoNbSn2 from Alexandria via LeMat-Bulk. Energies are from GGA-PBE.

## Properties
- energy of formation from the pure elements (eV/f.u.) = -0.88
- excess energy over the best structure of this formula in the dataset (eV/f.u.) = 0.00
- energy (eV per atom) = -5.885
- SG = P4/mmm, No. 123

Structure (CIF):
```
data_HoNbSn2
_chemical_formula_sum 'Ho1 Nb1 Sn2'
_cell_length_a 3.742
_cell_length_b 3.742
_cell_length_c 6.612
_cell_angle_alpha 90.00
_cell_angle_beta 90.00
_cell_angle_gamma 90.00
_space_group_name_H-M_alt 'P 1'
_space_group_IT_number 1
loop_
_space_group_symop_operation_xyz
'x,y,z'
loop_
_atom_site_label
_atom_site_type_symbol
_atom_site_fract_x
_atom_site_fract_y
_atom_site_fract_z
_atom_site_occupancy
Nb1 Nb 0.500 0.500 0.000 1
Sn1 Sn 0.000 0.000 0.221 1
Sn2 Sn 0.000 0.000 0.779 1
Ho1 Ho 0.500 0.500 0.500 1
```

(8)
Here is an optimized crystal structure of HoNbSn2 from Alexandria via LeMat-Bulk. Energies are from GGA-PBE.

## Properties
- energy of formation from the pure elements (eV/f.u.) = 1.03
- excess energy over the best structure of this formula in the dataset (eV/f.u.) = 1.91
- energy (eV per atom) = -5.407
- SG = R-3m, No. 166

Structure (CIF):
```
data_HoNbSn2
_chemical_formula_sum 'Ho1 Nb1 Sn2'
_cell_length_a 3.208
_cell_length_b 3.208
_cell_length_c 11.370
_cell_angle_alpha 81.89
_cell_angle_beta 81.89
_cell_angle_gamma 60.00
_space_group_name_H-M_alt 'P 1'
_space_group_IT_number 1
loop_
_space_group_symop_operation_xyz
'x,y,z'
loop_
_atom_site_label
_atom_site_type_symbol
_atom_site_fract_x
_atom_site_fract_y
_atom_site_fract_z
_atom_site_occupancy
Sn1 Sn 0.915 0.915 0.255 1
Sn2 Sn 0.085 0.085 0.745 1
Nb1 Nb 0.000 0.000 0.000 1
Ho1 Ho 0.500 0.500 0.500 1
```

no.,DOS(E_F) (states/eV/atom)
1,1.284
2,0.395
3,0.545
4,0.471
5,0.650
6,1.201
7,1.194
8,0.879